Compound: Rb3Co2F9
Source: Alexandria via LeMat-Bulk
Functional: PBE with a Hubbard U
Structure: relaxed

ρ   3.89 g/cm3
Calculated total energy   -62.95 eV for the cell shown
SG   P-3m1 (164)
Crystal system   trigonal

Cell lengths 5.976, 5.976, 7.529 Å; angles 90.00, 90.00, 120.00 degrees
Fractional positions:
Rb1 0.667 0.333 0.642
Rb2 0.000 0.000 0.000
Rb3 0.333 0.667 0.358
Co1 0.667 0.333 0.156
Co2 0.333 0.667 0.844
F1 0.182 0.818 0.711
F2 0.182 0.364 0.711
F3 0.500 0.500 0.000
F4 0.818 0.636 0.289
F5 0.364 0.182 0.289
F6 0.636 0.818 0.711
F7 0.818 0.182 0.289
F8 0.000 0.500 0.000
F9 0.500 0.000 0.000